Record 1
## TlCdIn (PBE)

Data for a relaxed structure of TlCdIn.

extended XYZ file:
```
12
Lattice="6.850 0.000 0.000 0.000 4.774 0.000 0.000 0.000 9.968" Properties=species:S:1:pos:R:3 pbc="T T T"
Tl 0.937 1.193 0.787
Tl 2.488 3.580 5.770
Tl 4.362 1.193 4.197
Tl 5.914 3.580 9.181
Cd 0.906 1.193 4.104
Cd 2.519 3.580 9.087
Cd 4.331 1.193 0.880
Cd 5.944 3.580 5.864
In 0.687 1.193 7.349
In 2.738 3.580 2.365
In 4.112 1.193 7.603
In 6.164 3.580 2.619
```

Summary:
The value obtained for the formation energy is 0.2 eV per formula unit. The value obtained for the electronic total energy is -1.96 eV/atom.



Record 2
## ZrBeNi2 (PBE)

Data for a relaxed structure of ZrBeNi2.

extended XYZ file:
```
4
Lattice="4.015 0.000 0.000 0.000 4.015 0.000 0.000 0.000 3.336" Properties=species:S:1:pos:R:3 pbc="T T T"
Zr 0.000 0.000 0.000
Be 2.007 2.007 0.000
Ni 0.000 2.007 1.668
Ni 2.007 0.000 1.668
```

Summary:
The energy above the most stable polymorph in this dataset is 310 meV/atom. The value obtained for the formation energy is -0.5 eV per formula unit. The value obtained for the electronic total energy is -6.09 eV/atom.



Record 3
## KRb3Mg (PBE)

Data for a relaxed structure of KRb3Mg.

extended XYZ file:
```
5
Lattice="7.918 0.000 0.000 0.000 7.918 0.000 0.000 0.000 7.918" Properties=species:S:1:pos:R:3 pbc="T T T"
K 0.000 0.000 0.000
Rb 0.000 0.000 3.959
Rb 0.000 3.959 0.000
Rb 3.959 0.000 0.000
Mg 3.959 3.959 3.959
```

Summary:
The energy above the most stable polymorph in this dataset is 234 meV/atom. The value obtained for the formation energy is 2.1 eV per formula unit. The value obtained for the electronic total energy is -0.69 eV/atom.



Record 4
## MoOs2Cl (PBE)

Data for a relaxed structure of MoOs2Cl.

extended XYZ file:
```
4
Lattice="2.860 0.000 0.000 0.000 4.117 0.000 -1.345 0.000 5.028" Properties=species:S:1:pos:R:3 pbc="T T T"
Mo 0.000 0.000 0.000
Os 0.045 2.058 3.720
Os 1.470 2.058 1.308
Cl -0.673 0.000 2.514
```

Summary:
The energy above the most stable polymorph in this dataset is 231 meV/atom. As for the raw formation energy: 0.704 eV per atom. The value obtained for the electronic total energy is -8.08 eV/atom.